[1]
Computed, not measured: a relaxed VTcRu2Se crystal at the GGA-PBE level of DFT.

Lattice parameters (Å, degrees): 4.455 4.502 4.455 90.00 90.00 90.00
Fractional coordinates of all 5 atoms:
Ru 0.500 0.000 0.000
Tc 0.000 0.500 0.000
V 0.500 0.500 0.500
Se 0.000 0.000 0.000
Ru 0.000 0.000 0.500

Values from the calculation:
ΔE_f (raw) = 1.183 eV/atom
Size of the total moment = 0.0 μB per cell
Calculated volume = 89 Å³/f.u.
D(E_F) = 11.8 states/eV/cell
Energy = -7.121 eV per atom

[2]
Computed, not measured: a relaxed Ta2HgMo crystal at the GGA-PBE level of DFT.

Lattice parameters (Å, degrees): 10.212 10.212 10.212 16.42 16.42 16.42
Fractional coordinates of all 4 atoms:
Mo 0.749 0.749 0.749
Ta 0.251 0.251 0.251
Hg 0.499 0.499 0.499
Ta 0.001 0.001 0.001

Values from the calculation:
Size of the total moment = 0.0 μB per cell
Calculated formation energy = 0.420 eV/atom
Calculated volume = 74 Å³/f.u.
D(E_F) = 3.4 states/eV/cell
Energy = -8.290 eV per atom

[3]
Computed, not measured: a relaxed Na5Ti2O6 crystal at the GGA-PBE level of DFT.

Lattice parameters (Å, degrees): 3.298 11.120 12.041 90.00 90.00 90.00
Fractional coordinates of all 26 atoms:
Ti 0.000 0.995 0.225
Na 0.500 0.000 0.500
O 0.000 0.131 0.146
O 0.500 0.492 0.193
Na 0.500 0.846 0.997
O 0.000 0.369 0.646
Ti 0.000 0.005 0.775
O 0.500 0.008 0.693
Ti 0.000 0.505 0.725
Na 0.500 0.154 0.003
Na 0.500 0.654 0.497
O 0.000 0.863 0.140
O 0.000 0.137 0.860
Na 0.500 0.346 0.503
Ti 0.000 0.495 0.275
O 0.000 0.869 0.854
Na 0.500 0.245 0.254
Na 0.500 0.755 0.746
O 0.000 0.363 0.360
O 0.500 0.992 0.307
Na 0.500 0.255 0.754
O 0.000 0.637 0.640
O 0.000 0.631 0.354
Na 0.500 0.500 0.000
O 0.500 0.508 0.807
Na 0.500 0.745 0.246

Values from the calculation:
ΔE_f (raw) = -2.154 eV/atom
Size of the total moment = 0.0 μB per cell
Calculated volume = 221 Å³/f.u.
D(E_F) = 3.3 states/eV/cell
Energy = -6.165 eV per atom

[4]
Computed, not measured: a relaxed BaCu3Ge crystal at the GGA-PBE level of DFT.

Lattice parameters (Å, degrees): 4.764 4.764 4.764 90.00 90.00 90.00
Fractional coordinates of all 5 atoms:
Cu 0.500 0.000 0.000
Cu 0.000 0.500 0.000
Ge 0.000 0.000 0.000
Ba 0.500 0.500 0.500
Cu 0.000 0.000 0.500

Values from the calculation:
Size of the total moment = 0.0 μB per cell
Calculated formation energy = 0.049 eV/atom
Calculated volume = 108 Å³/f.u.
D(E_F) = 2.7 states/eV/cell
Energy = -3.717 eV per atom
Energy relative to the lowest polymorph listed for this composition = 118 meV per atom